{
  "formula": "CdAsBr2",
  "functional": "PBE",
  "state": "relaxed",
  "lattice_angstrom": [[6.1525, -0.0025, 0.0489], [5.0853, 3.4631, 0.0489], [0.9225, 0.2841, 5.9167]],
  "species": ["As", "Cd", "Br", "Br"],
  "frac_coords": [[0.1516, 0.1516, 0.2973], [0.4979, 0.4979, 0.5381], [0.8220, 0.8220, 0.6506], [0.0285, 0.0285, 0.0141]],
  "polymorph_energy_mev_per_atom": 58,
  "raw_formation_energy_ev_per_atom": -0.221
}

{
  "formula": "Ti2GaTc3",
  "functional": "PBE",
  "state": "relaxed",
  "lattice_angstrom": [[4.3026, 1.2878, -2.4703], [-1.4307, 4.8564, -0.8013], [0.5250, -0.4492, 8.2831]],
  "species": ["Tc", "Ga", "Ti", "Ti", "Tc", "Tc", "Ti", "Ga", "Ti", "Tc", "Tc", "Tc"],
  "frac_coords": [[0.5973, 0.6932, 0.4779], [0.1528, 0.4028, 0.7500], [0.7893, 0.1554, 0.3835], [0.7281, 0.5942, 0.8835], [0.1913, 0.9414, 0.2500], [0.7152, 0.1195, 0.0221], [0.2107, 0.8446, 0.6165], [0.8472, 0.5972, 0.2500], [0.2719, 0.4058, 0.1165], [0.8087, 0.0586, 0.7500], [0.4027, 0.3068, 0.5221], [0.2848, 0.8805, 0.9779]],
  "formation_enthalpy_0k_mev_per_atom": -146
}

{
  "formula": "RbScGe",
  "functional": "PBE",
  "state": "relaxed",
  "lattice_angstrom": [[-6.3609, -5.7383, -3.8033], [8.0814, 3.8949, -2.7302], [1.2963, -4.2344, -2.2174]],
  "species": ["Sc", "Ge", "Sc", "Ge", "Rb", "Rb"],
  "frac_coords": [[0.9480, 0.6442, 0.2051], [0.6036, 0.1442, 0.5501], [0.4481, 0.1443, 0.2052], [0.7927, 0.6443, 0.8601], [0.3175, 0.6443, 0.3361], [0.0786, 0.1442, 0.0742]],
  "polymorph_energy_mev_per_atom": 0,
  "formation_enthalpy_0k_mev_per_atom": -360
}

{
  "formula": "TePtPb",
  "functional": "PBE",
  "state": "relaxed",
  "lattice_angstrom": [[-4.0361, 0.1565, -2.6120], [-3.7251, -2.8140, 1.1584], [-3.9922, 1.9377, 1.8559]],
  "species": ["Pt", "Pb", "Te"],
  "frac_coords": [[0.7500, 0.7500, 0.7500], [0.5000, 0.5000, 0.5000], [0.0000, 0.0000, 0.0000]],
  "polymorph_energy_mev_per_atom": 121,
  "raw_formation_energy_ev_per_atom": -0.237
}

| no. | total magnetization (μB/cell) |
| --- | --- |
| 1 | 0.00 |
| 2 | 0.00 |
| 3 | 0.00 |
| 4 | 0.00 |